{"formula": "Ce2Dy5Tm12", "functional": "PBE", "state": "optimized geometry", "n_ef_per_ev_cell": 28.84, "formation_enthalpy_0k_ev_per_atom": 0.14, "lattice": [[-7.528, 1.475, 4.921], [7.660, -7.505, 5.527], [0.407, 8.280, -1.858]], "species": ["Tm", "Tm", "Tm", "Tm", "Tm", "Tm", "Tm", "Tm", "Tm", "Tm", "Tm", "Tm", "Ce", "Ce", "Dy", "Dy", "Dy", "Dy", "Dy"], "fractional_positions": [[0.034, 0.710, 0.949], [0.676, 0.710, 0.949], [0.558, 0.735, 0.418], [0.966, 0.290, 0.051], [0.068, 0.136, 0.265], [0.932, 0.864, 0.735], [0.441, 0.882, 0.224], [0.177, 0.735, 0.418], [0.442, 0.265, 0.582], [0.823, 0.265, 0.582], [0.324, 0.290, 0.051], [0.559, 0.118, 0.776], [0.650, 0.000, 0.000], [0.350, 0.000, 0.000], [0.714, 0.429, 0.393], [0.000, 0.000, 0.500], [0.286, 0.571, 0.607], [0.769, 0.538, 0.103], [0.231, 0.462, 0.897]]}